Computed, not measured: an optimized crystal structure of K3U2PaAs6 at the GGA-PBE level of DFT.

a = 7.401 Å, b = 7.401 Å, c = 7.997 Å
α = 98.87°, β = 98.87°, γ = 120.00°
Each line ends with the local moment (μB).
Sites, in units of the cell vectors:
K1 0.166 0.834 0.500  0.00
K2 0.834 0.166 0.500  0.00
K3 0.500 0.500 0.500  0.00
U1 0.333 0.667 0.000  1.33
U2 0.667 0.333 0.000  1.33
Pa1 0.000 0.000 0.000  -0.19
As1 0.938 0.602 0.814  -0.05
As2 0.726 0.726 0.186  -0.05
As3 0.062 0.398 0.186  -0.05
As4 0.602 0.938 0.814  -0.05
As5 0.274 0.274 0.814  -0.05
As6 0.398 0.062 0.186  -0.05

M_tot (μB/atom): 0.167
DOS at the Fermi energy (states/eV/f.u.): 7.27
Calculated total energy (eV per atom): -5.9313
Energy relative to the elements (eV/atom): -0.659
Symmetry: C2/m (12)

Computed, not measured: an optimized crystal structure of MnNbCoHSe at the GGA-PBE level of DFT.

a = 3.408 Å, b = 3.153 Å, c = 11.561 Å
α = 90.00°, β = 91.00°, γ = 90.00°
Each line ends with the local moment (μB).
Sites, in units of the cell vectors:
Mn1 0.790 0.000 0.329  2.36
Mn2 0.790 0.500 0.829  2.36
Nb1 0.316 0.000 0.707  -0.40
Nb2 0.316 0.500 0.207  -0.40
Co1 0.306 0.000 0.973  -0.24
Co2 0.306 0.500 0.473  -0.24
H1 0.041 0.000 0.852  -0.01
H2 0.041 0.500 0.352  -0.01
Se1 0.804 0.000 0.534  -0.02
Se2 0.804 0.500 0.034  -0.02

M_tot (μB/atom): 0.351
DOS at the Fermi energy (states/eV/f.u.): 2.98
Calculated total energy (eV per atom): -6.6536
Symmetry: Cm (8)

Computed, not measured: an optimized crystal structure of SmPu2PdN4 at the GGA-PBE level of DFT.

a = 3.532 Å, b = 5.906 Å, c = 11.938 Å
α = 90.00°, β = 90.00°, γ = 107.40°
Each line ends with the local moment (μB).
Sites, in units of the cell vectors:
Sm1 0.090 0.179 0.750  0.01
Sm2 0.910 0.821 0.250  0.01
Pu1 0.370 0.740 0.558  4.03
Pu2 0.630 0.260 0.058  4.03
Pu3 0.630 0.260 0.442  4.03
Pu4 0.370 0.740 0.942  4.03
Pd1 0.813 0.625 0.750  -0.23
Pd2 0.187 0.375 0.250  -0.23
N1 0.261 0.522 0.091  -0.23
N2 0.739 0.478 0.591  -0.23
N3 0.739 0.478 0.909  -0.23
N4 0.261 0.522 0.409  -0.23
N5 0.000 0.000 0.500  -0.25
N6 0.000 0.000 0.000  -0.25
N7 0.453 0.906 0.750  -0.16
N8 0.547 0.094 0.250  -0.16

M_tot (μB/atom): 0.874
DOS at the Fermi energy (states/eV/f.u.): 12.61
Calculated total energy (eV per atom): -9.8894
Formation energy from raw total energies (eV/f.u.): -7.2
Symmetry: Cmcm (63)

Computed, not measured: an optimized crystal structure of EuPuZnAu at the GGA-PBE level of DFT.

a = 5.204 Å, b = 5.204 Å, c = 5.204 Å
α = 60.00°, β = 60.00°, γ = 60.00°
Each line ends with the local moment (μB).
Sites, in units of the cell vectors:
Eu1 0.250 0.250 0.250  6.76
Zn1 0.000 0.000 0.000  -0.01
Au1 0.500 0.500 0.500  -0.01
Pu1 0.750 0.750 0.750  -5.38

M_tot (μB/atom): 0.320
DOS at the Fermi energy (states/eV/f.u.): 16.75
Calculated total energy (eV per atom): -7.5939
Energy relative to the elements (eV/atom): -0.304
Symmetry: F-43m (216)

Computed, not measured: an optimized crystal structure of CaTaBr2 at the GGA-PBE level of DFT.

a = 5.001 Å, b = 5.000 Å, c = 3.377 Å
α = 90.00°, β = 90.00°, γ = 90.08°
Sites, in units of the cell vectors:
Ca1 0.500 0.000 0.500
Br1 0.000 0.000 0.000
Br2 0.500 0.500 0.000
Ta1 0.000 0.500 0.500

M_tot (μB/atom): 0.000
DOS at the Fermi energy (states/eV/f.u.): 3.78
Calculated total energy (eV per atom): -4.2221
Formation energy from raw total energies (eV/f.u.): 0.3
Symmetry: Cmmm (65)

Computed, not measured: an optimized crystal structure of LiMnZnRh at the GGA-PBE level of DFT.

a = 4.287 Å, b = 4.287 Å, c = 4.287 Å
α = 60.00°, β = 60.00°, γ = 60.00°
Each line ends with the local moment (μB).
Sites, in units of the cell vectors:
Zn1 0.000 0.000 0.000  -0.02
Mn1 0.500 0.500 0.500  3.73
Rh1 0.750 0.750 0.750  0.22
Li1 0.250 0.250 0.250  0.00

M_tot (μB/atom): 1.031
DOS at the Fermi energy (states/eV/f.u.): 1.19
Calculated total energy (eV per atom): -5.1318
Energy relative to the elements (eV/atom): -0.205
Symmetry: F-43m (216)

Computed, not measured: an optimized crystal structure of CdCuPt2 at the GGA-PBE level of DFT.

a = 4.803 Å, b = 4.803 Å, c = 4.803 Å
α = 130.14°, β = 130.14°, γ = 73.19°
Sites, in units of the cell vectors:
Cu1 0.750 0.250 0.500
Pt1 0.000 0.000 0.000
Pt2 0.500 0.500 0.000
Cd1 0.250 0.750 0.500

M_tot (μB/atom): 0.000
DOS at the Fermi energy (states/eV/f.u.): 1.62
Calculated total energy (eV per atom): -4.4790
Energy relative to the elements (eV/atom): -0.206
Symmetry: I4/mmm (139)

Computed, not measured: an optimized crystal structure of TbEr4In at the GGA-PBE level of DFT.

a = 3.538 Å, b = 3.538 Å, c = 14.141 Å
α = 90.00°, β = 90.00°, γ = 90.00°
Sites, in units of the cell vectors:
Tb1 0.000 0.000 0.000
Er1 0.500 0.500 0.177
Er2 0.000 0.000 0.648
Er3 0.000 0.000 0.352
Er4 0.500 0.500 0.823
In1 0.500 0.500 0.500

M_tot (μB/atom): 0.000
DOS at the Fermi energy (states/eV/f.u.): 6.07
Calculated total energy (eV per atom): -4.4201
Energy relative to the elements (eV/atom): -0.150
Symmetry: P4/mmm (123)